Entry 1:
A geometry-optimized KSrSbO4 structure, computed with GGA-PBE.

Summary:
* symmetry: No. 74
* uncorrected formation energy: -1.87 eV per atom
* VASP energy: -5.686 eV per atom
* volume: 243 Å³/cell

Geometry as POSCAR:
```
KSrSbO4
1.0
6.608 0.000 0.000
3.304 6.183 -0.093
3.304 1.795 5.918
O Sb Sr K
8 2 2 2
Direct
0.718 0.268 0.768
0.258 0.280 0.205
0.258 0.705 0.780
0.742 0.295 0.220
0.246 0.268 0.768
0.282 0.732 0.232
0.754 0.732 0.232
0.742 0.720 0.795
0.634 0.616 0.116
0.366 0.384 0.884
0.000 0.000 0.000
0.000 0.500 0.500
0.000 0.000 0.500
0.500 0.000 0.500
```

Entry 2:
A geometry-optimized K4SrSb3O12 structure, computed with GGA-PBE.

Summary:
* symmetry: No. 229
* uncorrected formation energy: -1.46 eV per atom
* VASP energy: -5.353 eV per atom
* volume: 306 Å³/cell

Geometry as POSCAR:
```
K4SrSb3O12
1.0
-4.408 2.341 -5.397
-4.015 -1.467 5.980
4.928 5.221 1.578
Sr O Sb K
1 12 3 4
Direct
0.000 0.000 0.000
0.277 0.277 0.000
0.277 0.000 0.277
0.500 0.250 0.750
0.723 0.000 0.723
0.000 0.723 0.723
0.250 0.500 0.750
0.500 0.750 0.250
0.723 0.723 0.000
0.750 0.250 0.500
0.250 0.750 0.500
0.750 0.500 0.250
0.000 0.277 0.277
0.500 0.500 0.000
0.000 0.500 0.500
0.500 0.000 0.500
0.500 0.000 0.000
0.000 0.000 0.500
0.500 0.500 0.500
0.000 0.500 0.000
```

Entry 3:
A geometry-optimized K3SrSb2O6 structure, computed with GGA-PBE.

Summary:
* symmetry: No. 164
* uncorrected formation energy: -1.70 eV per atom
* VASP energy: -5.279 eV per atom
* volume: 257 Å³/cell

Geometry as POSCAR:
```
K3SrSb2O6
1.0
-4.408 0.911 4.550
-1.353 -3.648 -5.082
2.446 -5.835 3.538
O K Sb Sr
6 3 2 1
Direct
0.177 0.354 0.291
0.177 0.823 0.291
0.354 0.177 0.709
0.646 0.823 0.291
0.823 0.646 0.709
0.823 0.177 0.709
0.000 0.000 0.000
0.667 0.333 0.358
0.333 0.667 0.642
0.667 0.333 0.828
0.333 0.667 0.172
0.000 0.000 0.500
```

Entry 4:
A geometry-optimized K2SrSb2O6 structure, computed with GGA-PBE.

Summary:
* symmetry: No. 12
* uncorrected formation energy: -1.67 eV per atom
* VASP energy: -5.475 eV per atom
* volume: 228 Å³/cell

Geometry as POSCAR:
```
K2SrSb2O6
1.0
6.587 0.000 0.000
-3.294 5.470 -0.397
0.000 -3.606 6.591
O Sb K Sr
6 2 2 1
Direct
0.704 0.882 0.222
0.823 0.118 0.778
0.296 0.118 0.778
0.177 0.882 0.222
0.241 0.482 0.418
0.759 0.518 0.582
0.039 0.077 0.215
0.961 0.923 0.785
0.297 0.594 0.836
0.703 0.406 0.164
0.500 0.000 0.500
```